Entry P
The following is a DFT calculation (PBE-GGA) of a relaxed HgBRh2 crystal.

```
HgBRh2
1.0
-3.635 -1.401 -5.246
-4.967 -1.693 3.894
-5.226 1.048 -0.728
B Rh Hg
2 4 2
direct
0.500 0.500 0.000
0.250 0.750 0.500
0.533 0.125 0.250
0.217 0.625 0.250
0.375 0.467 0.750
0.875 0.783 0.750
0.000 0.000 0.000
0.750 0.250 0.500
```

Values from the calculation:
size of the total moment = 0.00 Bohr magnetons per cell
space-group type = I-42d



Entry Q
The following is a DFT calculation (PBE-GGA) of a relaxed HgBRh2 crystal.

```
HgBRh2
1.0
2.788 0.000 0.000
0.000 2.788 0.000
0.000 0.000 7.014
B Rh Hg
1 2 1
direct
0.500 0.500 0.000
0.000 0.000 0.818
0.000 0.000 0.182
0.500 0.500 0.500
```

Values from the calculation:
size of the total moment = 0.00 Bohr magnetons per cell
space-group type = P4/mmm



Entry R
The following is a DFT calculation (PBE-GGA) of a relaxed HgBRh2 crystal.

```
HgBRh2
1.0
-1.338 2.557 0.124
-0.632 -0.464 2.744
7.004 2.010 0.469
Hg B Rh
1 1 2
direct
0.191 0.691 0.382
0.451 0.451 0.902
0.015 0.015 0.030
0.843 0.343 0.685
```

Values from the calculation:
size of the total moment = 0.00 Bohr magnetons per cell
space-group type = Imm2



Least stable: entry P



Entry P
The following is a DFT calculation (PBE-GGA) of a relaxed Hg3BRu crystal.

```
Hg3BRu
1.0
-4.781 -2.062 0.528
1.309 -3.872 -3.269
1.679 -2.855 4.053
Ru B Hg
1 1 3
direct
0.000 0.000 0.000
0.500 0.500 0.500
0.000 0.500 0.000
0.000 0.000 0.500
0.500 0.000 0.000
```

Values from the calculation:
size of the total moment = 0.00 Bohr magnetons per cell
space-group type = Pm-3m



Entry Q
The following is a DFT calculation (PBE-GGA) of a relaxed Hg3BRu crystal.

```
Hg3BRu
1.0
-3.579 -0.304 -2.786
2.775 -1.021 -3.453
-0.394 -4.420 0.989
Ru B Hg
1 1 3
direct
0.500 0.500 0.500
0.000 0.000 0.000
0.000 0.500 0.000
0.000 0.000 0.500
0.500 0.000 0.000
```

Values from the calculation:
size of the total moment = 1.59 Bohr magnetons per cell
space-group type = Pm-3m



Least stable: entry P



Entry P
The following is a DFT calculation (PBE-GGA) of a relaxed Hg2B2Ru crystal.

```
Hg2B2Ru
1.0
2.844 0.000 0.000
0.000 2.844 0.000
1.422 1.422 9.079
Ru B Hg
1 2 2
direct
0.000 0.000 0.000
0.750 0.250 0.500
0.250 0.750 0.500
0.382 0.382 0.235
0.618 0.618 0.765
```

Values from the calculation:
size of the total moment = 1.52 Bohr magnetons per cell
space-group type = I4/mmm



Entry Q
The following is a DFT calculation (PBE-GGA) of a relaxed Hg2B2Ru crystal.

```
Hg2B2Ru
1.0
-0.229 0.170 -7.081
2.138 -6.752 -0.231
-2.862 -0.909 0.071
Ru B Hg
2 4 4
direct
0.000 0.000 0.000
0.500 0.500 0.000
0.177 0.677 0.500
0.677 0.823 0.500
0.823 0.323 0.500
0.323 0.177 0.500
0.361 0.861 0.000
0.861 0.639 0.000
0.639 0.139 0.000
0.139 0.361 0.000
```

Values from the calculation:
size of the total moment = 0.90 Bohr magnetons per cell
space-group type = P4/mbm



Least stable: entry Q



Entry P
The following is a DFT calculation (PBE-GGA) of a relaxed HgBRu2 crystal.

```
HgBRu2
1.0
0.000 3.037 3.037
3.037 0.000 3.037
3.037 3.037 0.000
Ru B Hg
2 1 1
direct
0.250 0.250 0.250
0.750 0.750 0.750
0.000 0.000 0.000
0.500 0.500 0.500
```

Values from the calculation:
size of the total moment = 0.00 Bohr magnetons per cell
space-group type = Fm-3m



Entry Q
The following is a DFT calculation (PBE-GGA) of a relaxed HgBRu2 crystal.

```
HgBRu2
1.0
4.860 0.000 0.000
0.000 4.860 0.000
2.430 2.430 6.149
Ru B Hg
4 2 2
direct
0.481 0.125 0.250
0.269 0.625 0.250
0.375 0.519 0.750
0.875 0.731 0.750
0.500 0.500 0.000
0.250 0.750 0.500
0.000 0.000 0.000
0.750 0.250 0.500
```

Values from the calculation:
size of the total moment = 1.75 Bohr magnetons per cell
space-group type = I-42d



Least stable: entry P



Entry P
The following is a DFT calculation (PBE-GGA) of a relaxed HgBS3 crystal.

```
HgBS3
1.0
-1.350 1.169 -2.533
-4.702 -2.037 1.643
-0.148 6.629 3.068
Hg B S
1 1 3
direct
0.865 0.167 0.681
0.853 0.798 0.203
0.624 0.112 0.174
0.863 0.662 0.413
0.355 0.761 0.039
```

Values from the calculation:
size of the total moment = 0.00 Bohr magnetons per cell
space-group type = P1



Entry Q
The following is a DFT calculation (PBE-GGA) of a relaxed HgBS3 crystal.

```
HgBS3
1.0
5.001 0.000 0.000
0.000 5.001 0.000
0.000 0.000 5.001
S B Hg
3 1 1
direct
0.000 0.500 0.000
0.000 0.000 0.500
0.500 0.000 0.000
0.500 0.500 0.500
0.000 0.000 0.000
```

Values from the calculation:
size of the total moment = 0.00 Bohr magnetons per cell
space-group type = Pm-3m



Entry R
The following is a DFT calculation (PBE-GGA) of a relaxed HgBS3 crystal.

```
HgBS3
1.0
4.309 0.000 0.000
0.000 4.309 0.000
0.000 0.000 4.309
S B Hg
3 1 1
direct
0.000 0.500 0.000
0.000 0.000 0.500
0.500 0.000 0.000
0.000 0.000 0.000
0.500 0.500 0.500
```

Values from the calculation:
size of the total moment = 0.00 Bohr magnetons per cell
space-group type = Pm-3m



Entry S
The following is a DFT calculation (PBE-GGA) of a relaxed HgBS3 crystal.

```
HgBS3
1.0
5.941 -0.313 0.000
-2.512 6.458 0.000
0.000 0.000 13.579
Hg B S
4 4 12
direct
0.744 0.502 0.497
0.256 0.498 0.503
0.756 0.498 0.997
0.244 0.502 0.003
0.693 0.352 0.749
0.193 0.352 0.751
0.807 0.648 0.249
0.307 0.648 0.251
0.179 0.158 0.641
0.026 0.525 0.723
0.478 0.838 0.361
0.978 0.838 0.139
0.526 0.525 0.777
0.679 0.158 0.859
0.974 0.475 0.277
0.022 0.162 0.861
0.474 0.475 0.223
0.821 0.842 0.359
0.321 0.842 0.141
0.522 0.162 0.639
```

Values from the calculation:
size of the total moment = 0.00 Bohr magnetons per cell
space-group type = P2_1/c



Least stable: entry Q



Entry P
The following is a DFT calculation (PBE-GGA) of a relaxed HgB2Sb crystal.

```
HgB2Sb
1.0
0.000 3.211 3.211
3.211 0.000 3.211
3.211 3.211 0.000
Sb B Hg
1 2 1
direct
0.000 0.000 0.000
0.250 0.250 0.250
0.750 0.750 0.750
0.500 0.500 0.500
```

Values from the calculation:
size of the total moment = 0.00 Bohr magnetons per cell
space-group type = Fm-3m



Entry Q
The following is a DFT calculation (PBE-GGA) of a relaxed HgB2Sb crystal.

```
HgB2Sb
1.0
5.365 0.000 0.000
0.000 5.365 0.000
2.682 2.682 5.152
Sb B Hg
2 4 2
direct
0.500 0.500 0.000
0.250 0.750 0.500
0.617 0.125 0.250
0.133 0.625 0.250
0.375 0.383 0.750
0.875 0.867 0.750
0.000 0.000 0.000
0.750 0.250 0.500
```

Values from the calculation:
size of the total moment = 0.00 Bohr magnetons per cell
space-group type = I-42d



Least stable: entry P



Entry P
The following is a DFT calculation (PBE-GGA) of a relaxed HgBSb2 crystal.

```
HgBSb2
1.0
6.059 0.000 0.000
0.000 6.059 0.000
3.030 3.030 5.545
Sb B Hg
4 2 2
direct
0.554 0.125 0.250
0.196 0.625 0.250
0.375 0.446 0.750
0.875 0.804 0.750
0.500 0.500 0.000
0.250 0.750 0.500
0.000 0.000 0.000
0.750 0.250 0.500
```

Values from the calculation:
size of the total moment = 0.00 Bohr magnetons per cell
space-group type = I-42d



Entry Q
The following is a DFT calculation (PBE-GGA) of a relaxed HgBSb2 crystal.

```
HgBSb2
1.0
-4.838 -1.033 0.754
-3.264 0.416 -3.770
-2.026 -4.105 -2.020
Sb B Hg
2 1 1
direct
0.250 0.250 0.250
0.750 0.750 0.750
0.000 0.000 0.000
0.500 0.500 0.500
```

Values from the calculation:
size of the total moment = 0.00 Bohr magnetons per cell
space-group type = Fm-3m



Least stable: entry Q



Entry P
The following is a DFT calculation (PBE-GGA) of a relaxed Hg3BSb crystal.

```
Hg3BSb
1.0
5.708 0.000 0.000
0.000 5.708 0.000
0.000 0.000 5.708
Sb B Hg
1 1 3
direct
0.000 0.000 0.000
0.500 0.500 0.500
0.000 0.500 0.000
0.000 0.000 0.500
0.500 0.000 0.000
```

Values from the calculation:
size of the total moment = 0.77 Bohr magnetons per cell
space-group type = Pm-3m



Entry Q
The following is a DFT calculation (PBE-GGA) of a relaxed Hg3BSb crystal.

```
Hg3BSb
1.0
4.828 0.000 0.000
0.000 4.828 0.000
0.000 0.000 4.828
Sb B Hg
1 1 3
direct
0.500 0.500 0.500
0.000 0.000 0.000
0.000 0.500 0.000
0.000 0.000 0.500
0.500 0.000 0.000
```

Values from the calculation:
size of the total moment = 0.00 Bohr magnetons per cell
space-group type = Pm-3m



Least stable: entry P



Entry P
The following is a DFT calculation (PBE-GGA) of a relaxed Hg2BSb crystal.

```
Hg2BSb
1.0
0.000 3.543 3.543
3.543 0.000 3.543
3.543 3.543 0.000
Sb B Hg
1 1 2
direct
0.500 0.500 0.500
0.000 0.000 0.000
0.250 0.250 0.250
0.750 0.750 0.750
```

Values from the calculation:
size of the total moment = 0.00 Bohr magnetons per cell
space-group type = Fm-3m



Entry Q
The following is a DFT calculation (PBE-GGA) of a relaxed Hg2BSb crystal.

```
Hg2BSb
1.0
-5.224 1.084 3.789
-3.320 -4.600 -3.262
-2.797 -4.901 3.195
Sb B Hg
2 2 4
direct
0.000 0.000 0.000
0.750 0.250 0.500
0.500 0.500 0.000
0.250 0.750 0.500
0.533 0.125 0.250
0.217 0.625 0.250
0.375 0.467 0.750
0.875 0.783 0.750
```

Values from the calculation:
size of the total moment = 0.00 Bohr magnetons per cell
space-group type = I-42d



Least stable: entry P



Entry P
The following is a DFT calculation (PBE-GGA) of a relaxed Sc2HgB crystal.

```
Sc2HgB
1.0
5.043 5.919 3.983
7.292 4.557 1.551
4.996 7.142 0.617
Sc B Hg
2 1 1
direct
0.880 0.880 0.880
0.120 0.120 0.120
0.500 0.500 0.500
0.000 0.000 0.000
```

Values from the calculation:
size of the total moment = 0.00 Bohr magnetons per cell
space-group type = R-3m



Entry Q
The following is a DFT calculation (PBE-GGA) of a relaxed Sc2HgB crystal.

```
Sc2HgB
1.0
-0.595 -5.860 -3.855
6.990 -0.177 -0.810
3.463 -4.807 0.345
Sc B Hg
4 2 2
direct
0.555 0.125 0.250
0.195 0.625 0.250
0.375 0.445 0.750
0.875 0.805 0.750
0.500 0.500 0.000
0.250 0.750 0.500
0.000 0.000 0.000
0.750 0.250 0.500
```

Values from the calculation:
size of the total moment = 0.00 Bohr magnetons per cell
space-group type = I-42d



Least stable: entry Q



Entry P
The following is a DFT calculation (PBE-GGA) of a relaxed HgBSe2 crystal.

```
HgBSe2
1.0
4.096 -4.434 3.410
6.738 -0.681 1.487
4.059 0.024 5.621
B Hg Se
1 1 2
direct
0.000 0.000 0.000
0.500 0.500 0.500
0.096 0.096 0.096
0.904 0.904 0.904
```

Values from the calculation:
size of the total moment = 0.00 Bohr magnetons per cell
space-group type = R-3m



Entry Q
The following is a DFT calculation (PBE-GGA) of a relaxed HgBSe2 crystal.

```
HgBSe2
1.0
5.961 0.000 0.000
0.000 5.866 0.000
0.000 0.000 9.602
Hg B Se
4 4 8
direct
0.084 0.999 0.406
0.584 0.001 0.594
0.584 0.501 0.906
0.084 0.499 0.094
0.968 0.021 0.874
0.468 0.979 0.126
0.468 0.479 0.374
0.968 0.521 0.626
0.080 0.339 0.800
0.580 0.661 0.200
0.580 0.161 0.300
0.080 0.839 0.700
0.618 0.008 0.920
0.118 0.992 0.080
0.118 0.492 0.420
0.618 0.508 0.580
```

Values from the calculation:
size of the total moment = 0.00 Bohr magnetons per cell
space-group type = Pna2_1



Least stable: entry P